1.
# NiAuSeN2

A PBEsol-optimized structure of NiAuSeN2 (SCAN, the Alexandria database).

Unit cell a=3.6572 b=3.6572 c=5.2954 alpha=90.00 beta=90.00 gamma=90.00
Last column: magnetic moment on the atom in μB.
Element x y z (fractional)
Ni  0.0000  0.0000  0.0000  0.64
Au  0.5000  0.5000  0.5000  0.06
Se  0.0000  0.0000  0.5000  0.16
N  0.0000  0.5000  0.0000  1.14
N  0.5000  0.0000  0.0000  1.14

Properties
* space group: P4/mmm (123)

=====

2.
# BiPS2Cl

A PBEsol-optimized structure of BiPS2Cl (SCAN, the Alexandria database).

Unit cell a=4.8009 b=4.5777 c=4.5777 alpha=90.00 beta=90.00 gamma=90.00
Element x y z (fractional)
P  0.5000  0.0000  0.0000
S  0.0000  0.0000  0.5000
S  0.0000  0.5000  0.0000
Bi  0.5000  0.5000  0.5000
Cl  0.0000  0.0000  0.0000

Properties
* space group: P4/mmm (123)

=====

Short version: ΔE_f (raw) = 1.031; 0.972 eV/atom, in the order given.
Short version: DFT total energy = -23.7675; -22.2700 eV per atom, in the order given.